Density functional theory data (PBE with a Hubbard U) for crystalline CaNiNO2 at its relaxed geometry.

Calculated values
SG   P4/mmm
Density of states at the Fermi level   0.34 states/eV/atom
E_tot   -5.17 eV/atom

Unit cell a=3.936 b=3.936 c=3.643 alpha=90.00 beta=90.00 gamma=90.00
Fractional coordinates of all 5 atoms:
Ca1 0.000 0.000 0.000
Ni1 0.500 0.500 0.500
N1 0.500 0.500 0.000
O1 0.000 0.500 0.500
O2 0.500 0.000 0.500